[1]
LiRePb2 | Alexandria via LeMat-Bulk | GGA-PBE | optimized geometry; size of the total moment = 0.0 Bohr magnetons per cell; energy relative to the elements = 0.47 eV per atom; symmetry = R-3m (166)
1.0
-5.869 6.476 2.674
-4.594 5.560 5.615
-2.992 7.791 3.726
Li Pb Re
1 2 1
Direct
0.750 0.750 0.750
0.996 0.996 0.996
0.504 0.504 0.504
0.250 0.250 0.250

***

[2]
AgO2F | Alexandria via LeMat-Bulk | GGA-PBE | optimized geometry; size of the total moment = 0.0 Bohr magnetons per cell; E_form (uncorrected) = -0.449 eV per atom; symmetry = C2/m (12)
1.0
-4.435 -4.399 2.986
-1.405 -6.543 1.776
1.772 -0.013 4.459
Ag O F
2 4 2
Direct
0.671 0.671 0.286
0.329 0.329 0.714
0.129 0.805 0.723
0.805 0.129 0.723
0.195 0.871 0.277
0.871 0.195 0.277
0.743 0.743 0.744
0.257 0.257 0.256

***

- What is the size of the total moment in the second record?
  0.0 Bohr magnetons per cell